Record 1
Here is a geometry-optimized InP4Ru structure from Alexandria. Energies are from GGA-PBE.

Cell lengths 5.1277, 5.1277, 5.1277 Å; angles 60.00, 60.00, 60.00 degrees
Sites, in units of the cell vectors:
1 P 0.6277 0.6277 0.6277
2 Ru 0.2500 0.2500 0.2500
3 P 0.6277 0.6277 0.1168
4 P 0.6277 0.1168 0.6277
5 In 0.0000 0.0000 0.0000
6 P 0.1168 0.6277 0.6277

Values from the calculation:
Magnetization (μB per cell): 0.00
Space-group type: F-43m, No. 216
VASP energy (eV/atom): -4.8399


Record 2
Here is a geometry-optimized In3PRu structure from Alexandria. Energies are from GGA-PBE.

Cell lengths 5.0754, 5.0754, 5.0754 Å; angles 90.00, 90.00, 90.00 degrees
Sites, in units of the cell vectors:
1 In 0.0000 0.0000 0.5000
2 In 0.5000 0.0000 0.0000
3 P 0.0000 0.0000 0.0000
4 In 0.0000 0.5000 0.0000
5 Ru 0.5000 0.5000 0.5000

Values from the calculation:
Magnetization (μB per cell): 1.80
Space-group type: Pm-3m, No. 221
Polymorph energy (0 for the lowest one) (meV per atom): 477.6